[1]
VASP calculation (PBE-GGA) on a relaxed structure of NaMnSnBr5. Values from VASP.

Cell and atoms, written as Quantum ESPRESSO input:
```
&SYSTEM
  ibrav = 0, nat = 16, ntyp = 4
/
ATOMIC_SPECIES
Br 79.90 Br.upf
Sn 118.71 Sn.upf
Mn 54.94 Mn.upf
Na 22.99 Na.upf
ATOMIC_POSITIONS angstrom
Br 0.049 0.994 5.458
Br 3.006 3.132 4.157
Br 2.193 2.035 0.480
Br 0.861 2.091 9.135
Br -1.642 5.723 2.319
Br 6.122 2.181 1.396
Br 4.696 -1.598 7.297
Br 4.012 -0.669 3.242
Br -0.958 4.794 6.374
Br -3.068 1.944 8.220
Sn 0.560 4.093 2.319
Sn 2.494 0.032 7.297
Mn -0.778 2.455 7.297
Mn 3.832 1.671 2.319
Na 0.000 0.000 0.000
Na -1.257 -1.698 4.978
CELL_PARAMETERS angstrom
7.633 0.171 -0.170
-2.065 7.350 -0.170
-2.514 -3.396 9.956
```

Calculated values
**Total magnetization**: 10.0 μB/cell
**Raw formation energy**: -0.901 eV per atom

[2]
VASP calculation (PBE-GGA) on a relaxed structure of Ac8Sm5Y. Values from VASP.

Cell and atoms, written as Quantum ESPRESSO input:
```
&SYSTEM
  ibrav = 0, nat = 14, ntyp = 3
/
ATOMIC_SPECIES
Sm 150.36 Sm.upf
Ac 227.00 Ac.upf
Y 88.91 Y.upf
ATOMIC_POSITIONS angstrom
Sm -1.257 0.115 5.289
Sm 2.243 0.880 -0.301
Sm -1.151 5.280 6.055
Sm 3.922 -0.204 5.720
Sm 6.575 -4.525 2.449
Ac 4.191 -1.499 2.048
Ac 5.236 3.293 0.177
Ac 1.230 0.915 3.102
Ac 1.153 2.261 6.839
Ac 5.625 2.563 4.054
Ac 5.830 -0.301 -1.355
Ac -1.056 -1.750 8.130
Ac 1.021 -2.622 4.856
Y 2.634 3.997 3.356
CELL_PARAMETERS angstrom
-0.697 -7.154 5.537
8.330 0.491 -3.611
-1.826 7.380 5.037
```

Calculated values
**Energy of formation**: 0.26 eV/atom
**Total magnetization**: 0.0 μB/cell

[3]
VASP calculation (PBE-GGA) on a relaxed structure of KCa2TlMo. Values from VASP.

Cell and atoms, written as Quantum ESPRESSO input:
```
&SYSTEM
  ibrav = 0, nat = 5, ntyp = 4
/
ATOMIC_SPECIES
K 39.10 K.upf
Mo 95.94 Mo.upf
Tl 204.38 Tl.upf
Ca 40.08 Ca.upf
ATOMIC_POSITIONS angstrom
K -4.311 2.267 -0.686
Mo 0.000 0.000 0.000
Tl -1.945 -0.846 -1.787
Ca -0.348 2.705 -0.903
Ca -2.018 0.409 2.003
CELL_PARAMETERS angstrom
-0.696 5.409 -1.805
-3.890 -1.693 -3.573
-4.035 0.818 4.006
```

Calculated values
**Energy of formation**: 0.54 eV/atom
**Total magnetization**: 1.7 μB/cell

[4]
VASP calculation (PBE-GGA) on a relaxed structure of Ba2InP. Values from VASP.

Cell and atoms, written as Quantum ESPRESSO input:
```
&SYSTEM
  ibrav = 0, nat = 8, ntyp = 3
/
ATOMIC_SPECIES
Ba 137.33 Ba.upf
P 30.97 P.upf
In 114.82 In.upf
ATOMIC_POSITIONS angstrom
Ba -8.700 3.879 4.335
Ba -3.287 4.406 4.053
Ba -12.740 7.605 6.211
Ba -7.192 1.947 0.527
P -4.998 3.787 1.597
P -9.865 2.847 1.704
In -6.094 6.071 5.859
In 0.000 0.000 0.000
CELL_PARAMETERS angstrom
-1.227 7.011 5.751
-8.769 0.563 -2.557
-5.963 1.344 4.369
```

Calculated values
**Energy relative to the lowest polymorph listed for this composition**: 222 meV/atom
**Energy of formation**: -0.39 eV/atom
**Total magnetization**: 0.0 μB/cell

[5]
VASP calculation (PBE-GGA) on a relaxed structure of LaTl2Cd. Values from VASP.

Cell and atoms, written as Quantum ESPRESSO input:
```
&SYSTEM
  ibrav = 0, nat = 4, ntyp = 3
/
ATOMIC_SPECIES
Tl 204.38 Tl.upf
Cd 112.41 Cd.upf
La 138.91 La.upf
ATOMIC_POSITIONS angstrom
Tl -25.726 18.859 5.340
Tl -6.392 4.685 1.327
Cd -12.957 9.499 2.689
La -19.378 14.205 4.022
CELL_PARAMETERS angstrom
-9.305 5.865 -0.106
-9.130 5.114 3.387
-7.346 7.921 2.070
```

Calculated values
**Energy of formation**: -0.07 eV/atom
**Total magnetization**: 0.0 μB/cell

[6]
VASP calculation (PBE-GGA) on a relaxed structure of CdSnSN2. Values from VASP.

Cell and atoms, written as Quantum ESPRESSO input:
```
&SYSTEM
  ibrav = 0, nat = 5, ntyp = 4
/
ATOMIC_SPECIES
Cd 112.41 Cd.upf
Sn 118.71 Sn.upf
N 14.01 N.upf
S 32.06 S.upf
ATOMIC_POSITIONS angstrom
Cd 0.712 -2.034 3.364
Sn 0.000 0.000 0.000
N -1.350 0.013 1.545
N -0.006 -2.052 0.012
S 2.068 0.005 1.807
CELL_PARAMETERS angstrom
-2.700 0.027 3.091
-0.012 -4.104 0.025
4.136 0.009 3.613
```

Calculated values
**Energy relative to the lowest polymorph listed for this composition**: 0 meV/atom
**Total magnetization**: 2.2 μB/cell
**Raw formation energy**: 1.057 eV per atom

[7]
VASP calculation (PBE-GGA) on a relaxed structure of HfNiRu. Values from VASP.

Cell and atoms, written as Quantum ESPRESSO input:
```
&SYSTEM
  ibrav = 0, nat = 6, ntyp = 3
/
ATOMIC_SPECIES
Ni 58.69 Ni.upf
Ru 101.07 Ru.upf
Hf 178.49 Hf.upf
ATOMIC_POSITIONS angstrom
Ni -5.123 0.716 0.358
Ni -4.496 0.562 2.522
Ru -7.253 0.908 2.168
Ru -2.366 0.369 0.712
Hf -2.516 -0.870 3.240
Hf -3.885 -0.534 -1.484
CELL_PARAMETERS angstrom
-3.218 2.681 1.124
-4.336 -0.423 -3.037
-2.065 -0.981 4.793
```

Calculated values
**Energy of formation**: -0.28 eV/atom
**Total magnetization**: 0.0 μB/cell

[8]
VASP calculation (PBE-GGA) on a relaxed structure of Pu4H. Values from VASP.

Cell and atoms, written as Quantum ESPRESSO input:
```
&SYSTEM
  ibrav = 0, nat = 5, ntyp = 2
/
ATOMIC_SPECIES
Pu 244.00 Pu.upf
H 1.01 H.upf
ATOMIC_POSITIONS angstrom
Pu 0.000 0.000 0.000
Pu 2.410 0.000 2.410
Pu 2.410 2.410 0.000
Pu 0.000 2.410 2.410
H 2.410 2.410 2.410
CELL_PARAMETERS angstrom
4.820 0.000 0.000
0.000 4.820 0.000
0.000 0.000 4.820
```

Calculated values
**DFT total energy**: -59.99 eV for the cell shown
**Total magnetization**: 23.0 μB/cell

[9]
VASP calculation (PBE-GGA) on a relaxed structure of Ac5PrNd2. Values from VASP.

Cell and atoms, written as Quantum ESPRESSO input:
```
&SYSTEM
  ibrav = 0, nat = 16, ntyp = 3
/
ATOMIC_SPECIES
Nd 144.24 Nd.upf
Ac 227.00 Ac.upf
Pr 140.91 Pr.upf
ATOMIC_POSITIONS angstrom
Nd -1.250 -2.988 2.100
Nd 2.471 -9.754 1.819
Nd 1.116 -14.937 0.667
Nd -2.606 -8.171 0.948
Ac -4.513 -4.753 1.084
Ac 4.378 -13.172 1.684
Ac -0.818 -11.533 0.795
Ac 0.683 -6.392 1.973
Ac 0.526 -8.525 -1.281
Ac -4.556 -6.964 -2.157
Ac 0.000 0.000 0.000
Ac 2.387 -11.955 -1.429
Ac -1.334 -5.096 -1.133
Ac 5.608 -10.087 -0.405
Pr 3.788 -6.729 -0.260
Pr -3.262 -1.797 -1.021
CELL_PARAMETERS angstrom
-1.187 -0.874 5.330
-6.523 -3.593 -2.042
7.576 -13.458 -0.520
```

Calculated values
**Energy of formation**: 0.03 eV/atom
**Total magnetization**: 0.0 μB/cell

[10]
VASP calculation (PBE-GGA) on a relaxed structure of LiYOs2. Values from VASP.

Cell and atoms, written as Quantum ESPRESSO input:
```
&SYSTEM
  ibrav = 0, nat = 4, ntyp = 3
/
ATOMIC_SPECIES
Li 6.94 Li.upf
Os 190.23 Os.upf
Y 88.91 Y.upf
ATOMIC_POSITIONS angstrom
Li 0.000 0.000 0.000
Os 0.041 -2.180 1.745
Os 0.123 -6.540 5.234
Y 0.082 -4.360 3.489
CELL_PARAMETERS angstrom
2.687 -2.893 2.282
-1.239 -1.489 4.128
-1.284 -4.338 0.569
```

Calculated values
**Energy relative to the lowest polymorph listed for this composition**: 429 meV/atom
**Energy of formation**: 0.62 eV/atom
**Total magnetization**: 0.0 μB/cell

[11]
VASP calculation (PBE-GGA) on a relaxed structure of RbLi2Mn. Values from VASP.

Cell and atoms, written as Quantum ESPRESSO input:
```
&SYSTEM
  ibrav = 0, nat = 4, ntyp = 3
/
ATOMIC_SPECIES
Rb 85.47 Rb.upf
Li 6.94 Li.upf
Mn 54.94 Mn.upf
ATOMIC_POSITIONS angstrom
Rb 3.908 3.908 3.908
Li 5.861 5.861 5.861
Li 1.954 1.954 1.954
Mn 0.000 0.000 0.000
CELL_PARAMETERS angstrom
0.000 3.908 3.908
3.908 0.000 3.908
3.908 3.908 0.000
```

Calculated values
**Energy relative to the lowest polymorph listed for this composition**: 0 meV/atom
**Energy of formation**: 0.68 eV/atom
**Total magnetization**: 4.0 μB/cell

[12]
VASP calculation (PBE-GGA) on a relaxed structure of CeAgBr. Values from VASP.

Cell and atoms, written as Quantum ESPRESSO input:
```
&SYSTEM
  ibrav = 0, nat = 6, ntyp = 3
/
ATOMIC_SPECIES
Ce 140.12 Ce.upf
Br 79.90 Br.upf
Ag 107.87 Ag.upf
ATOMIC_POSITIONS angstrom
Ce 4.628 2.672 6.988
Ce 4.628 2.672 3.108
Br 6.942 4.008 8.587
Br 2.314 1.336 1.509
Ag 2.314 1.336 5.209
Ag 6.942 4.008 4.887
CELL_PARAMETERS angstrom
4.628 0.000 0.000
2.314 4.008 0.000
2.314 1.336 10.096
```

Calculated values
**Total magnetization**: 3.4 μB/cell
**Raw formation energy**: -0.789 eV per atom